Compound: VOs3O
Source: Alexandria via LeMat-Bulk
Functional: GGA+U
Structure: optimized geometry

It has space group Pm-3m (No. 221), with a = 4.532 Å, b = 4.532 Å, c = 4.532 Å, α = 90.00°, β = 90.00° and γ = 90.00°. The asymmetric unit holds V at (0.000, 0.000, 0.000), Os at (0.000, 0.000, 0.500) and O at (0.500, 0.500, 0.500).

The excess energy over the best structure of this formula in the dataset comes out at 1.907 eV per atom. The raw total energy comes out at -6.411 eV/atom.